MnNi2Pd | Alexandria | PBE | relaxed; raw total energy = -0.45116 Ry per atom; V = 219.46 Å³/cell
1.0
6.598 0.000 0.000
0.000 6.598 0.000
0.000 0.000 5.042
Mn Ni Pd
4 8 4
Direct
0.000 0.000 0.000
0.000 0.500 0.250
0.500 0.000 0.750
0.500 0.500 0.500
0.233 0.250 0.125
0.250 0.733 0.375
0.250 0.767 0.875
0.267 0.250 0.625
0.733 0.750 0.625
0.750 0.233 0.875
0.750 0.267 0.375
0.767 0.750 0.125
0.000 0.000 0.500
0.000 0.500 0.750
0.500 0.000 0.250
0.500 0.500 0.000